BeCo2P: optimized geometry, PBE-GGA.

The structure belongs to space group Pmmm (No. 47); the cell edges are 2.6487, 2.8647 and 5.1103 Å and the angles 90.00°, 90.00° and 90.00°. The asymmetric unit holds Be at (0.0000, 0.0000, 0.0000), Co at (0.5000, 0.5000, 0.2531) and P at (0.0000, 0.0000, 0.5000).

The crystal system is orthorhombic. The energy of formation is -1.2 eV/f.u. The calculation puts the density at 6.8 Mg/m³. Its density of states at the Fermi level is 3.14 states/eV per cell.